1.
This record from Alexandria via LeMat-Bulk describes a relaxed structure of K6RbTl. The functional is PBE-GGA.

Results
* E_form: 23 meV/atom
* volume: 515 Å³ per cell

```
K6RbTl
1.0
8.144 -0.780 -2.219
-2.964 7.619 -3.248
-0.419 -0.050 8.787
Rb K Tl
1 6 1
Direct
0.500 0.000 0.000 Rb
0.240 0.997 0.446 K
0.760 0.554 0.003 K
0.760 0.003 0.554 K
0.792 0.553 0.553 K
0.208 0.447 0.447 K
0.240 0.446 0.997 K
0.000 0.000 0.000 Tl
```



2.
This record from Alexandria via LeMat-Bulk describes a relaxed structure of Ce2Zn3InAu4. The functional is PBE-GGA.

Results
* E_form: -456 meV/atom
* volume: 214 Å³ per cell

```
Ce2Zn3InAu4
1.0
-1.470 3.693 -1.617
-2.043 -2.166 -3.089
-9.430 -0.784 6.786
Zn In Au Ce
3 1 4 2
Direct
0.500 0.000 0.870 Zn
0.000 0.000 0.500 Zn
0.000 0.500 0.130 Zn
0.500 0.500 0.500 In
0.500 0.000 0.653 Au
0.000 0.500 0.347 Au
0.500 0.500 0.000 Au
0.000 0.000 0.000 Au
0.000 0.500 0.761 Ce
0.500 0.000 0.239 Ce
```



3.
This record from Alexandria via LeMat-Bulk describes a relaxed structure of La2Ga3Cu5. The functional is PBE-GGA.

Results
* E_form: -352 meV/atom
* volume: 368 Å³ per cell

```
La2Ga3Cu5
1.0
-0.920 3.245 5.108
-5.699 -3.671 4.974
4.119 -3.334 6.528
Ga La Cu
6 4 10
Direct
0.867 0.748 0.517 Ga
0.750 0.000 0.000 Ga
0.633 0.483 0.252 Ga
0.367 0.517 0.748 Ga
0.133 0.252 0.483 Ga
0.250 0.000 0.000 Ga
0.626 0.137 0.611 La
0.374 0.863 0.389 La
0.874 0.389 0.863 La
0.126 0.611 0.137 La
0.616 0.744 0.024 Cu
0.384 0.256 0.976 Cu
0.017 0.233 0.233 Cu
0.750 0.500 0.500 Cu
0.116 0.024 0.744 Cu
0.517 0.233 0.233 Cu
0.884 0.976 0.256 Cu
0.250 0.500 0.500 Cu
0.483 0.767 0.767 Cu
0.983 0.767 0.767 Cu
```



4.
This record from Alexandria via LeMat-Bulk describes a relaxed structure of ZrTiAlRu. The functional is PBE-GGA.

Results
* E_form: -419 meV/atom
* volume: 66 Å³ per cell

```
ZrTiAlRu
1.0
4.543 0.000 0.000
2.272 3.935 0.000
2.272 1.312 3.710
Al Ti Zr Ru
1 1 1 1
Direct
0.750 0.750 0.750 Al
0.000 0.000 0.000 Ti
0.250 0.250 0.250 Zr
0.500 0.500 0.500 Ru
```



5.
This record from Alexandria via LeMat-Bulk describes a relaxed structure of BaCe2PtO8. The functional is PBE-GGA.

Results
* formation energy without anion corrections: -2.11 eV per atom
* volume: 192 Å³ per cell

```
BaCe2PtO8
1.0
5.164 0.069 -0.005
0.117 5.144 -0.006
0.007 0.008 7.244
O Ce Pt Ba
8 2 1 1
Direct
0.283 0.261 0.000 O
0.184 0.790 0.190 O
0.817 0.210 0.190 O
0.632 0.694 0.500 O
0.816 0.210 0.810 O
0.717 0.739 0.000 O
0.368 0.306 0.500 O
0.183 0.790 0.810 O
0.500 0.500 0.751 Ce
0.500 0.500 0.249 Ce
0.000 0.000 0.000 Pt
0.000 0.000 0.500 Ba
```



6.
This record from Alexandria via LeMat-Bulk describes a relaxed structure of Rb3Ga2Au4. The functional is PBE-GGA.

Results
* E_form: -273 meV/atom
* volume: 278 Å³ per cell

```
Rb3Ga2Au4
1.0
4.745 0.000 0.000
-2.373 6.202 -2.253
0.000 0.364 9.307
Au Rb Ga
4 3 2
Direct
0.852 0.703 0.594 Au
0.269 0.537 0.920 Au
0.731 0.463 0.080 Au
0.148 0.297 0.406 Au
0.000 0.000 0.000 Rb
0.397 0.794 0.314 Rb
0.603 0.206 0.686 Rb
0.316 0.633 0.670 Ga
0.684 0.367 0.330 Ga
```



- What is the volume in the second record?
  214 Å³ per cell